No. 1
DFT (PBE) results for a geometry-optimized Re2AsCl structure.

Cell: 8.259 8.259 8.259 Å, 20.60 20.60 20.60°
Positions (direct):
1 Re 0.504 0.504 0.504
2 Re 0.996 0.996 0.996
3 Cl 0.750 0.750 0.750
4 As 0.250 0.250 0.250

Values from the calculation:
The value obtained for the formation energy from raw total energies is 0.63 eV per atom. Its excess energy over the best structure of this formula in the dataset is 0.634 eV per atom.

No. 2
DFT (PBE) results for a geometry-optimized ReAsCl structure.

Cell: 4.279 4.279 4.279 Å, 60.00 60.00 60.00°
Site moments in Bohr magnetons follow the coordinates.
Positions (direct):
1 Re 0.750 0.750 0.750  0.78
2 Cl 0.500 0.500 0.500  0.03
3 As 0.000 0.000 0.000  -0.02

Values from the calculation:
The value obtained for the formation energy from raw total energies is 0.52 eV per atom. Its excess energy over the best structure of this formula in the dataset is 0.375 eV per atom.

No. 3
DFT (PBE) results for a geometry-optimized ReAsCl structure.

Cell: 3.091 3.091 7.670 Å, 90.00 90.00 120.00°
Positions (direct):
1 As 0.000 0.000 0.904
2 Re 0.333 0.667 0.669
3 Cl 0.667 0.333 0.426

Values from the calculation:
The value obtained for the formation energy from raw total energies is 0.14 eV per atom. Its excess energy over the best structure of this formula in the dataset is 0.000 eV per atom.

No. 4
DFT (PBE) results for a geometry-optimized ReAsCl2 structure.

Cell: 12.515 12.515 12.515 Å, 13.42 13.42 13.42°
Positions (direct):
1 As 0.500 0.500 0.500
2 Cl 0.940 0.940 0.940
3 Re 0.000 0.000 0.000
4 Cl 0.060 0.060 0.060

Values from the calculation:
The value obtained for the formation energy from raw total energies is 0.31 eV per atom. Its excess energy over the best structure of this formula in the dataset is 0.399 eV per atom.

No. 5
DFT (PBE) results for a geometry-optimized ReAsCl2 structure.

Cell: 3.082 3.082 12.006 Å, 90.00 90.00 124.84°
Positions (direct):
1 As 0.500 0.500 0.750
2 Cl 0.000 0.000 0.411
3 Cl 0.000 0.000 0.089
4 Re 0.500 0.500 0.250

Values from the calculation:
The value obtained for the formation energy from raw total energies is 0.40 eV per atom. Its excess energy over the best structure of this formula in the dataset is 0.488 eV per atom.

No. 6
DFT (PBE) results for a geometry-optimized ReAsRhCl2 structure.

Cell: 4.518 5.144 4.518 Å, 90.00 90.00 90.00°
Site moments in Bohr magnetons follow the coordinates.
Positions (direct):
1 Cl 0.500 0.000 0.000  -0.03
2 Rh 0.000 0.500 0.000  -0.06
3 Cl 0.000 0.000 0.500  0.02
4 Re 0.000 0.000 0.000  -0.19
5 As 0.500 0.500 0.500  0.39

Values from the calculation:
The value obtained for the formation energy from raw total energies is 0.88 eV per atom.